[1]
Density functional theory data (PBE-GGA) for an optimized crystal structure of Li3Ti4O8.

Geometry as CIF:
```
data_Li3Ti4O8
_space_group_name_H-M_alt 'P 1 m 1'
_space_group_IT_number 6
_space_group_name_Hall 'P -2y'
_cell_length_a 5.1313
_cell_length_b 2.9296
_cell_length_c 9.8450
_cell_angle_alpha 90.00
_cell_angle_beta 91.69
_cell_angle_gamma 90.00
loop_
_atom_site_label
_atom_site_fract_x
_atom_site_fract_y
_atom_site_fract_z
Li1 0.0000 0.0000 0.0000
Li2 0.1596 0.5000 0.8071
Li3 0.6465 0.0000 0.4628
Ti1 0.0218 0.0000 0.2689
Ti2 0.1351 0.5000 0.5337
Ti3 0.5068 0.5000 0.0468
Ti4 0.6445 0.0000 0.7667
O1 0.1922 0.5000 0.1528
O2 0.2884 0.0000 0.4207
O3 0.3523 0.0000 0.9146
O4 0.4395 0.5000 0.6671
O5 0.7165 0.0000 0.1342
O6 0.8087 0.5000 0.8889
O7 0.8519 0.5000 0.3849
O8 0.9409 0.0000 0.6402
```

Energy above the lowest structure with this stoichiometry = 0.0151 eV per atom
Fermi-level density of states = 5.3 states/eV/f.u.
Uncorrected formation energy = -2.67 eV/atom
Total energy = -7.8031 eV per atom


[2]
Density functional theory data (PBE-GGA) for an optimized crystal structure of Li4Ti11O24.

Geometry as CIF:
```
data_Li4Ti11O24
_space_group_name_H-M_alt 'C 1 2/m 1'
_space_group_IT_number 12
_space_group_name_Hall '-C 2y'
_cell_length_a 19.6057
_cell_length_b 5.9836
_cell_length_c 8.4988
_cell_angle_alpha 90.00
_cell_angle_beta 115.30
_cell_angle_gamma 90.00
loop_
_atom_site_label
_atom_site_fract_x
_atom_site_fract_y
_atom_site_fract_z
Li1 0.0837 0.0000 0.4711
Li2 0.0873 0.5000 0.2099
Ti1 0.0000 0.5000 0.5000
Ti2 0.0785 0.2411 0.8413
Ti3 0.1586 0.0000 0.1604
Ti4 0.1699 0.5000 0.6877
Ti5 0.2500 0.2500 0.5000
O1 0.0056 0.5000 0.7431
O2 0.0114 0.0000 0.7478
O3 0.0830 0.2816 0.5954
O4 0.0909 0.2402 0.0724
O5 0.1546 0.0000 0.9249
O6 0.1549 0.5000 0.8869
O7 0.1734 0.0000 0.4138
O8 0.1769 0.5000 0.4344
O9 0.2492 0.2838 0.7280
```

Energy above the lowest structure with this stoichiometry = 0.0189 eV per atom
Fermi-level density of states = 0.0 states/eV/f.u.
Uncorrected formation energy = -2.85 eV/atom
Total energy = -8.3281 eV per atom


[3]
Density functional theory data (PBE-GGA) for an optimized crystal structure of LiTi2O4.

Geometry as CIF:
```
data_LiTi2O4
_space_group_name_H-M_alt 'P m n a'
_space_group_IT_number 53
_space_group_name_Hall '-P 2ac 2'
_cell_length_a 3.8708
_cell_length_b 8.2454
_cell_length_c 8.9599
_cell_angle_alpha 90.00
_cell_angle_beta 90.00
_cell_angle_gamma 90.00
loop_
_atom_site_label
_atom_site_fract_x
_atom_site_fract_y
_atom_site_fract_z
Li1 0.0000 0.1242 0.1490
Ti1 0.0000 0.1481 0.6143
Ti2 0.0000 0.3889 0.3844
O1 0.0000 0.1200 0.8496
O2 0.0000 0.1236 0.3970
O3 0.0000 0.3675 0.1512
O4 0.0000 0.3761 0.6092
```

Energy above the lowest structure with this stoichiometry = 0.0380 eV per atom
Fermi-level density of states = 3.0 states/eV/f.u.
Uncorrected formation energy = -2.81 eV/atom
Total energy = -8.1697 eV per atom


[4]
Density functional theory data (PBE-GGA) for an optimized crystal structure of Li2TiO3.

Geometry as CIF:
```
data_Li2TiO3
_space_group_name_H-M_alt 'C 1 2/c 1'
_space_group_IT_number 15
_space_group_name_Hall '-C 2yc'
_cell_length_a 5.2290
_cell_length_b 8.6663
_cell_length_c 5.0874
_cell_angle_alpha 90.00
_cell_angle_beta 112.15
_cell_angle_gamma 90.00
loop_
_atom_site_label
_atom_site_fract_x
_atom_site_fract_y
_atom_site_fract_z
Li1 0.0000 0.0812 0.2500
Li2 0.0000 0.2438 0.7500
Ti1 0.0000 0.4108 0.2500
O1 0.2215 0.4262 0.0125
O2 0.2500 0.2500 0.5000
```

Fermi-level density of states = 0.0 states/eV/f.u.
Uncorrected formation energy = -2.62 eV/atom
Total energy = -7.0531 eV per atom


[5]
Density functional theory data (PBE-GGA) for an optimized crystal structure of LiTi2O4.

Geometry as CIF:
```
data_LiTi2O4
_space_group_name_H-M_alt 'P 1 2/m 1'
_space_group_IT_number 10
_space_group_name_Hall '-P 2y'
_cell_length_a 4.8715
_cell_length_b 2.9088
_cell_length_c 4.8795
_cell_angle_alpha 90.00
_cell_angle_beta 91.20
_cell_angle_gamma 90.00
loop_
_atom_site_label
_atom_site_fract_x
_atom_site_fract_y
_atom_site_fract_z
Li1 0.0000 0.0000 0.0000
Ti1 0.0000 0.0000 0.5000
Ti2 0.5000 0.5000 0.0000
O1 0.1697 0.5000 0.2662
O2 0.3177 0.0000 0.7856
```

Energy above the lowest structure with this stoichiometry = 0.1381 eV per atom
Fermi-level density of states = 3.0 states/eV/f.u.
Uncorrected formation energy = -2.71 eV/atom
Total energy = -8.0696 eV per atom


[6]
Density functional theory data (PBE-GGA) for an optimized crystal structure of LiTi3O6.

Geometry as CIF:
```
data_LiTi3O6
_space_group_name_H-M_alt 'R 3'
_space_group_IT_number 146
_space_group_name_Hall 'R 3'
_cell_length_a 5.0892
_cell_length_b 5.0892
_cell_length_c 13.8435
_cell_angle_alpha 90.00
_cell_angle_beta 90.00
_cell_angle_gamma 120.00
loop_
_atom_site_label
_atom_site_fract_x
_atom_site_fract_y
_atom_site_fract_z
Li1 0.0000 0.0000 0.0000
Ti1 0.0000 0.0000 0.2860
Ti2 0.0000 0.0000 0.4901
Ti3 0.0000 0.0000 0.7844
O1 0.0062 0.6841 0.8839
O2 0.0196 0.3848 0.0548
```

Energy above the lowest structure with this stoichiometry = 0.0000 eV per atom
Fermi-level density of states = 3.7 states/eV/f.u.
Uncorrected formation energy = -2.87 eV/atom
Total energy = -8.4078 eV per atom


[7]
Density functional theory data (PBE-GGA) for an optimized crystal structure of LiTi3O6.

Geometry as CIF:
```
data_LiTi3O6
_space_group_name_H-M_alt 'C 1 m 1'
_space_group_IT_number 8
_space_group_name_Hall 'C -2y'
_cell_length_a 14.2351
_cell_length_b 2.9644
_cell_length_c 5.0031
_cell_angle_alpha 90.00
_cell_angle_beta 91.86
_cell_angle_gamma 90.00
loop_
_atom_site_label
_atom_site_fract_x
_atom_site_fract_y
_atom_site_fract_z
Li1 0.0000 0.0000 0.0000
Ti1 0.1287 0.0000 0.4203
Ti2 0.2786 0.5000 0.9360
Ti3 0.4335 0.0000 0.4604
O1 0.0097 0.0000 0.6305
O2 0.0524 0.5000 0.2265
O3 0.1854 0.5000 0.6255
O4 0.2155 0.0000 0.1213
O5 0.3497 0.0000 0.7542
O6 0.3829 0.5000 0.2332
```

Energy above the lowest structure with this stoichiometry = 0.0012 eV per atom
Fermi-level density of states = 4.8 states/eV/f.u.
Uncorrected formation energy = -2.87 eV/atom
Total energy = -8.4066 eV per atom


[8]
Density functional theory data (PBE-GGA) for an optimized crystal structure of Li7Ti5O12.

Geometry as CIF:
```
data_Li7Ti5O12
_space_group_name_H-M_alt 'C 1 2/m 1'
_space_group_IT_number 12
_space_group_name_Hall '-C 2y'
_cell_length_a 5.0767
_cell_length_b 8.7935
_cell_length_c 9.9833
_cell_angle_alpha 90.00
_cell_angle_beta 99.76
_cell_angle_gamma 90.00
loop_
_atom_site_label
_atom_site_fract_x
_atom_site_fract_y
_atom_site_fract_z
Li1 0.0000 0.0000 0.0000
Li2 0.2442 0.1630 0.2441
Li3 0.2447 0.0000 0.7559
Ti1 0.0000 0.1667 0.5000
Ti2 0.0000 0.3334 0.0000
Ti3 0.0000 0.5000 0.5000
O1 0.1076 0.5000 0.8872
O2 0.1263 0.0000 0.3784
O3 0.1268 0.3333 0.3807
O4 0.1398 0.1774 0.8872
```

Fermi-level density of states = 7.2 states/eV/f.u.
Uncorrected formation energy = -2.62 eV/atom
Total energy = -7.3019 eV per atom


[9]
Density functional theory data (PBE-GGA) for an optimized crystal structure of LiTi2O4.

Geometry as CIF:
```
data_LiTi2O4
_space_group_name_H-M_alt 'C 1 2/m 1'
_space_group_IT_number 12
_space_group_name_Hall '-C 2y'
_cell_length_a 11.9977
_cell_length_b 4.0289
_cell_length_c 6.5982
_cell_angle_alpha 90.00
_cell_angle_beta 107.00
_cell_angle_gamma 90.00
loop_
_atom_site_label
_atom_site_fract_x
_atom_site_fract_y
_atom_site_fract_z
Li1 0.0577 0.0000 0.3512
Ti1 0.1136 0.5000 0.7082
Ti2 0.2110 0.5000 0.2851
O1 0.0606 0.5000 0.3594
O2 0.1145 0.0000 0.6749
O3 0.1497 0.5000 0.0008
O4 0.2266 0.0000 0.3440
```

Energy above the lowest structure with this stoichiometry = 0.0497 eV per atom
Fermi-level density of states = 2.0 states/eV/f.u.
Uncorrected formation energy = -2.80 eV/atom
Total energy = -8.1579 eV per atom